# VIrO2 PBE with a Hubbard U relaxed
# SG: Fm-3m, No. 225
# energy above the most stable polymorph in this dataset: 1299 meV per atom
# volume: 10.77 Å³ per atom
# total energy: -25.49 eV/cell
# spin magnetization: 2.558 μB/f.u.
# D(E_F): 4.46 states/eV/f.u.
data_VIrO2
_space_group_name_H-M_alt 'P 1'
_space_group_IT_number 1
_space_group_name_Hall 'P 1'
_cell_length_a 3.935
_cell_length_b 3.935
_cell_length_c 3.935
_cell_angle_alpha 60.00
_cell_angle_beta 60.00
_cell_angle_gamma 60.00
loop_
_atom_site_label
_atom_site_fract_x
_atom_site_fract_y
_atom_site_fract_z
V1 0.000 0.000 0.000
Ir1 0.500 0.500 0.500
O1 0.250 0.250 0.250
O2 0.750 0.750 0.750